# 1
{"formula": "Zn5Sb3O12", "functional": "PBE-GGA", "state": "relaxed", "volume_a3_per_atom": 11.62, "dft_energy_ev_per_atom": -5.042, "raw_formation_energy_ev_per_atom": -1.13, "cell": [[-6.148, 6.148, 6.148], [6.148, -6.148, 6.148], [6.148, 6.148, -6.148]], "species": ["Zn", "Zn", "Zn", "Zn", "Zn", "Zn", "Zn", "Zn", "Zn", "Zn", "Zn", "Zn", "Zn", "Zn", "Zn", "Zn", "Zn", "Zn", "Zn", "Zn", "Sb", "Sb", "Sb", "Sb", "Sb", "Sb", "Sb", "Sb", "Sb", "Sb", "Sb", "Sb", "O", "O", "O", "O", "O", "O", "O", "O", "O", "O", "O", "O", "O", "O", "O", "O", "O", "O", "O", "O", "O", "O", "O", "O", "O", "O", "O", "O", "O", "O", "O", "O", "O", "O", "O", "O", "O", "O", "O", "O", "O", "O", "O", "O", "O", "O", "O", "O"], "fractional_positions": [[0.000, 0.000, 0.000], [0.000, 0.000, 0.500], [0.000, 0.500, 0.000], [0.000, 0.500, 0.500], [0.125, 0.750, 0.875], [0.125, 0.875, 0.250], [0.250, 0.125, 0.875], [0.250, 0.625, 0.375], [0.375, 0.250, 0.625], [0.375, 0.625, 0.750], [0.500, 0.000, 0.000], [0.500, 0.000, 0.500], [0.500, 0.500, 0.000], [0.500, 0.500, 0.500], [0.625, 0.375, 0.250], [0.625, 0.750, 0.375], [0.750, 0.375, 0.625], [0.750, 0.875, 0.125], [0.875, 0.125, 0.750], [0.875, 0.250, 0.125], [0.125, 0.250, 0.375], [0.125, 0.375, 0.750], [0.250, 0.375, 0.125], [0.250, 0.875, 0.625], [0.375, 0.125, 0.250], [0.375, 0.750, 0.125], [0.625, 0.250, 0.875], [0.625, 0.875, 0.750], [0.750, 0.125, 0.375], [0.750, 0.625, 0.875], [0.875, 0.625, 0.250], [0.875, 0.750, 0.625], [0.047, 0.221, 0.137], [0.047, 0.326, 0.910], [0.085, 0.721, 0.674], [0.085, 0.863, 0.410], [0.090, 0.637, 0.415], [0.090, 0.953, 0.674], [0.137, 0.047, 0.221], [0.137, 0.590, 0.915], [0.174, 0.221, 0.585], [0.174, 0.453, 0.590], [0.221, 0.137, 0.047], [0.221, 0.585, 0.174], [0.279, 0.326, 0.915], [0.279, 0.453, 0.363], [0.326, 0.910, 0.047], [0.326, 0.915, 0.279], [0.363, 0.279, 0.453], [0.363, 0.585, 0.910], [0.410, 0.085, 0.863], [0.410, 0.826, 0.547], [0.415, 0.090, 0.637], [0.415, 0.826, 0.779], [0.453, 0.363, 0.279], [0.453, 0.590, 0.174], [0.547, 0.410, 0.826], [0.547, 0.637, 0.721], [0.585, 0.174, 0.221], [0.585, 0.910, 0.363], [0.590, 0.174, 0.453], [0.590, 0.915, 0.137], [0.637, 0.415, 0.090], [0.637, 0.721, 0.547], [0.674, 0.085, 0.721], [0.674, 0.090, 0.953], [0.721, 0.547, 0.637], [0.721, 0.674, 0.085], [0.779, 0.415, 0.826], [0.779, 0.863, 0.953], [0.826, 0.547, 0.410], [0.826, 0.779, 0.415], [0.863, 0.410, 0.085], [0.863, 0.953, 0.779], [0.910, 0.047, 0.326], [0.910, 0.363, 0.585], [0.915, 0.137, 0.590], [0.915, 0.279, 0.326], [0.953, 0.674, 0.090], [0.953, 0.779, 0.863]]}



# 2
{"formula": "Zn2Sb4O", "functional": "PBE-GGA", "state": "relaxed", "volume_a3_per_atom": 25.95, "dft_energy_ev_per_atom": -3.472, "raw_formation_energy_ev_per_atom": -0.04, "cell": [[-2.268, 2.268, 8.826], [2.268, -2.268, 8.826], [2.268, 2.268, -8.826]], "species": ["Zn", "Zn", "Sb", "Sb", "Sb", "Sb", "O"], "fractional_positions": [[0.103, 0.103, 0.000], [0.897, 0.897, 0.000], [0.000, 0.500, 0.500], [0.251, 0.251, 0.000], [0.500, 0.000, 0.500], [0.749, 0.749, 0.000], [0.500, 0.500, 0.000]]}



# 3
{"formula": "ZnSb2O4", "functional": "PBE-GGA", "state": "relaxed", "volume_a3_per_atom": 15.05, "dft_energy_ev_per_atom": -5.197, "relative_energy_mev_per_atom": 345, "raw_formation_energy_ev_per_atom": -1.00, "cell": [[0.000, 4.723, 4.723], [4.723, 0.000, 4.723], [4.723, 4.723, 0.000]], "species": ["Zn", "Zn", "Sb", "Sb", "Sb", "Sb", "O", "O", "O", "O", "O", "O", "O", "O"], "fractional_positions": [[0.125, 0.125, 0.125], [0.875, 0.875, 0.875], [0.000, 0.500, 0.500], [0.500, 0.000, 0.500], [0.500, 0.500, 0.000], [0.500, 0.500, 0.500], [0.251, 0.251, 0.251], [0.251, 0.251, 0.748], [0.251, 0.748, 0.251], [0.252, 0.749, 0.749], [0.748, 0.251, 0.251], [0.749, 0.252, 0.749], [0.749, 0.749, 0.252], [0.749, 0.749, 0.749]]}



# 4
{"formula": "ZnSb2O4", "functional": "PBE-GGA", "state": "relaxed", "volume_a3_per_atom": 15.28, "dft_energy_ev_per_atom": -5.465, "relative_energy_mev_per_atom": 77, "raw_formation_energy_ev_per_atom": -1.27, "cell": [[6.612, -1.654, 0.000], [6.612, 1.654, 0.000], [-3.528, 0.000, 9.778]], "species": ["Zn", "Zn", "Sb", "Sb", "Sb", "Sb", "O", "O", "O", "O", "O", "O", "O", "O"], "fractional_positions": [[0.249, 0.249, 0.250], [0.751, 0.751, 0.750], [0.120, 0.120, 0.910], [0.380, 0.380, 0.590], [0.620, 0.620, 0.410], [0.880, 0.880, 0.090], [0.101, 0.101, 0.277], [0.229, 0.229, 0.600], [0.271, 0.271, 0.900], [0.398, 0.398, 0.223], [0.602, 0.602, 0.777], [0.729, 0.729, 0.100], [0.771, 0.771, 0.400], [0.899, 0.899, 0.723]]}



# 5
{"formula": "Zn3SbO", "functional": "PBE-GGA", "state": "relaxed", "volume_a3_per_atom": 16.55, "dft_energy_ev_per_atom": -2.771, "relative_energy_mev_per_atom": 0, "raw_formation_energy_ev_per_atom": -0.19, "cell": [[4.357, 0.000, 0.000], [0.000, 4.357, 0.000], [0.000, 0.000, 4.357]], "species": ["Zn", "Zn", "Zn", "Sb", "O"], "fractional_positions": [[0.000, 0.000, 0.500], [0.000, 0.500, 0.000], [0.500, 0.000, 0.000], [0.500, 0.500, 0.500], [0.000, 0.000, 0.000]]}



# 6
{"formula": "Zn3SbO", "functional": "PBE-GGA", "state": "relaxed", "volume_a3_per_atom": 27.45, "dft_energy_ev_per_atom": -1.818, "relative_energy_mev_per_atom": 954, "raw_formation_energy_ev_per_atom": 0.76, "cell": [[5.159, 0.000, 0.000], [0.000, 5.159, 0.000], [0.000, 0.000, 5.159]], "species": ["Zn", "Zn", "Zn", "Sb", "O"], "fractional_positions": [[0.000, 0.000, 0.500], [0.000, 0.500, 0.000], [0.500, 0.000, 0.000], [0.000, 0.000, 0.000], [0.500, 0.500, 0.500]]}



# 7
{"formula": "Zn6SbO6", "functional": "PBE-GGA", "state": "relaxed", "volume_a3_per_atom": 14.67, "dft_energy_ev_per_atom": -4.217, "raw_formation_energy_ev_per_atom": -1.02, "cell": [[5.757, 0.000, 0.000], [0.000, 5.757, 0.000], [0.000, 0.000, 5.757]], "species": ["Zn", "Zn", "Zn", "Zn", "Zn", "Zn", "Sb", "O", "O", "O", "O", "O", "O"], "fractional_positions": [[0.000, 0.249, 0.500], [0.000, 0.751, 0.500], [0.249, 0.500, 0.000], [0.500, 0.000, 0.249], [0.500, 0.000, 0.751], [0.751, 0.500, 0.000], [0.000, 0.000, 0.000], [0.000, 0.500, 0.254], [0.000, 0.500, 0.746], [0.254, 0.000, 0.500], [0.500, 0.254, 0.000], [0.500, 0.746, 0.000], [0.746, 0.000, 0.500]]}



# 8
{"formula": "ZnSbO2", "functional": "PBE-GGA", "state": "relaxed", "volume_a3_per_atom": 12.85, "dft_energy_ev_per_atom": -4.191, "relative_energy_mev_per_atom": 617, "raw_formation_energy_ev_per_atom": -0.36, "cell": [[0.000, 2.951, 2.951], [2.951, 0.000, 2.951], [2.951, 2.951, 0.000]], "species": ["Zn", "Sb", "O", "O"], "fractional_positions": [[0.000, 0.000, 0.000], [0.500, 0.500, 0.500], [0.250, 0.250, 0.250], [0.750, 0.750, 0.750]]}



# 9
{"formula": "Zn7Sb2O12", "functional": "PBE-GGA", "state": "relaxed", "volume_a3_per_atom": 11.90, "dft_energy_ev_per_atom": -5.065, "relative_energy_mev_per_atom": 4, "raw_formation_energy_ev_per_atom": -1.41, "cell": [[6.258, 0.000, 0.000], [-0.337, 8.712, 0.000], [-2.910, -4.321, 9.171]], "species": ["Zn", "Zn", "Zn", "Zn", "Zn", "Zn", "Zn", "Zn", "Zn", "Zn", "Zn", "Zn", "Zn", "Zn", "Sb", "Sb", "Sb", "Sb", "O", "O", "O", "O", "O", "O", "O", "O", "O", "O", "O", "O", "O", "O", "O", "O", "O", "O", "O", "O", "O", "O", "O", "O"], "fractional_positions": [[0.000, 0.000, 0.000], [0.053, 0.459, 0.164], [0.151, 0.152, 0.819], [0.170, 0.174, 0.329], [0.281, 0.859, 0.504], [0.319, 0.319, 0.650], [0.377, 0.801, 0.820], [0.500, 0.500, 0.500], [0.623, 0.199, 0.180], [0.681, 0.681, 0.350], [0.719, 0.141, 0.496], [0.830, 0.826, 0.671], [0.849, 0.848, 0.181], [0.947, 0.541, 0.836], [0.000, 0.500, 0.500], [0.334, 0.839, 0.171], [0.500, 0.500, 0.000], [0.666, 0.161, 0.829], [0.001, 0.734, 0.502], [0.030, 0.756, 0.018], [0.129, 0.930, 0.833], [0.156, 0.426, 0.345], [0.181, 0.901, 0.321], [0.206, 0.406, 0.840], [0.307, 0.571, 0.654], [0.341, 0.062, 0.162], [0.341, 0.589, 0.156], [0.356, 0.096, 0.682], [0.465, 0.263, 0.493], [0.489, 0.738, 0.007], [0.511, 0.262, 0.993], [0.535, 0.737, 0.507], [0.644, 0.904, 0.318], [0.659, 0.411, 0.844], [0.659, 0.938, 0.838], [0.693, 0.429, 0.346], [0.794, 0.594, 0.160], [0.819, 0.099, 0.679], [0.844, 0.574, 0.655], [0.871, 0.070, 0.167], [0.970, 0.244, 0.982], [0.999, 0.266, 0.498]]}